1.
! Nd2PuBiN2 PBE optimized geometry; values from VASP
! SG: No. 123
! Uncorrected formation energy in meV per atom: -1037
&SYSTEM
  ibrav = 0, nat = 6, ntyp = 4
/
ATOMIC_SPECIES
Nd 144.24 Nd.upf
Pu 244.00 Pu.upf
Bi 208.98 Bi.upf
N 14.01 N.upf
CELL_PARAMETERS angstrom
4.3970 0.0000 0.0000
0.0000 4.3970 0.0000
0.0000 0.0000 6.7896
ATOMIC_POSITIONS crystal
Nd 0.0000 0.0000 0.2349
Nd 0.0000 0.0000 0.7651
Pu 0.5000 0.5000 0.0000
Bi 0.5000 0.5000 0.5000
N 0.0000 0.5000 0.0000
N 0.5000 0.0000 0.0000

2.
! Nd4BiSbN PBE optimized geometry; values from VASP
! SG: No. 63
! Uncorrected formation energy in meV per atom: -964
&SYSTEM
  ibrav = 0, nat = 14, ntyp = 4
/
ATOMIC_SPECIES
Nd 144.24 Nd.upf
Bi 208.98 Bi.upf
Sb 121.76 Sb.upf
N 14.01 N.upf
CELL_PARAMETERS angstrom
3.4433 -8.3890 0.0000
3.4433 8.3890 0.0000
0.0000 0.0000 6.8858
ATOMIC_POSITIONS crystal
Nd 0.0000 0.5000 0.0000
Nd 0.0000 0.5000 0.5000
Nd 0.0853 0.9147 0.7500
Nd 0.4108 0.5892 0.7500
Nd 0.5000 0.0000 0.0000
Nd 0.5000 0.0000 0.5000
Nd 0.5892 0.4108 0.2500
Nd 0.9147 0.0853 0.2500
Bi 0.3943 0.6057 0.2500
Bi 0.6057 0.3943 0.7500
Sb 0.1088 0.8912 0.2500
Sb 0.8912 0.1088 0.7500
N 0.2524 0.7476 0.7500
N 0.7476 0.2524 0.2500

3.
! Nd3BiSbN PBE optimized geometry; values from VASP
! SG: No. 11
! Uncorrected formation energy in meV per atom: -1067
&SYSTEM
  ibrav = 0, nat = 12, ntyp = 4
/
ATOMIC_SPECIES
Nd 144.24 Nd.upf
Bi 208.98 Bi.upf
Sb 121.76 Sb.upf
N 14.01 N.upf
CELL_PARAMETERS angstrom
9.4767 0.0000 0.0000
0.0000 4.3534 0.0000
-1.2374 0.0000 9.5877
ATOMIC_POSITIONS crystal
Nd 0.1076 0.2500 0.3570
Nd 0.3534 0.2500 0.9976
Nd 0.3863 0.7500 0.6752
Nd 0.6137 0.2500 0.3248
Nd 0.6466 0.7500 0.0024
Nd 0.8924 0.7500 0.6430
Bi 0.3425 0.7500 0.2987
Bi 0.6575 0.2500 0.7013
Sb 0.1371 0.2500 0.6825
Sb 0.8629 0.7500 0.3175
N 0.4130 0.7500 0.9089
N 0.5870 0.2500 0.0911

4.
! Nd3BiSeN PBE optimized geometry; values from VASP
! SG: No. 11
! Uncorrected formation energy in meV per atom: -1297
&SYSTEM
  ibrav = 0, nat = 12, ntyp = 4
/
ATOMIC_SPECIES
Nd 144.24 Nd.upf
Bi 208.98 Bi.upf
Se 78.96 Se.upf
N 14.01 N.upf
CELL_PARAMETERS angstrom
9.0213 0.0000 0.0000
0.0000 4.2800 0.0000
-1.7543 0.0000 9.3574
ATOMIC_POSITIONS crystal
Nd 0.0852 0.2500 0.3478
Nd 0.3425 0.2500 0.9861
Nd 0.3932 0.7500 0.6611
Nd 0.6068 0.2500 0.3389
Nd 0.6575 0.7500 0.0139
Nd 0.9148 0.7500 0.6522
Bi 0.3242 0.7500 0.2853
Bi 0.6758 0.2500 0.7147
Se 0.1513 0.2500 0.6610
Se 0.8487 0.7500 0.3390
N 0.4094 0.7500 0.9004
N 0.5906 0.2500 0.0996

5.
! Nd4Bi2SeN2 PBE optimized geometry; values from VASP
! SG: No. 12
! Uncorrected formation energy in meV per atom: -1219
&SYSTEM
  ibrav = 0, nat = 9, ntyp = 4
/
ATOMIC_SPECIES
Nd 144.24 Nd.upf
Bi 208.98 Bi.upf
Se 78.96 Se.upf
N 14.01 N.upf
CELL_PARAMETERS angstrom
7.9686 -2.1148 0.0000
7.9686 2.1148 0.0000
-3.6352 0.0000 7.6968
ATOMIC_POSITIONS crystal
Nd 0.0296 0.0296 0.2817
Nd 0.2804 0.2804 0.3652
Nd 0.7196 0.7196 0.6348
Nd 0.9704 0.9704 0.7183
Bi 0.3937 0.3937 0.9557
Bi 0.6063 0.6063 0.0443
Se 0.5000 0.5000 0.5000
N 0.1767 0.1767 0.4875
N 0.8233 0.8233 0.5125

6.
! Nd4Sm2Bi3N2 PBE optimized geometry; values from VASP
! SG: No. 139
! Uncorrected formation energy in meV per atom: -1003
&SYSTEM
  ibrav = 0, nat = 11, ntyp = 4
/
ATOMIC_SPECIES
Nd 144.24 Nd.upf
Sm 150.36 Sm.upf
Bi 208.98 Bi.upf
N 14.01 N.upf
CELL_PARAMETERS angstrom
-2.4244 2.4244 13.2625
2.4244 -2.4244 13.2625
2.4244 2.4244 -13.2625
ATOMIC_POSITIONS crystal
Nd 0.0844 0.5844 0.5000
Nd 0.4156 0.9156 0.5000
Nd 0.5844 0.0844 0.5000
Nd 0.9156 0.4156 0.5000
Sm 0.1914 0.1914 0.0000
Sm 0.8086 0.8086 0.0000
Bi 0.3189 0.3189 0.0000
Bi 0.5000 0.5000 0.0000
Bi 0.6811 0.6811 0.0000
N 0.1060 0.1060 0.0000
N 0.8940 0.8940 0.0000

Which of these has the lowest uncorrected formation energy?
Nd3BiSeN

What is the formula in the fourth record?
Nd3BiSeN

Among the records above, which one has the lowest uncorrected formation energy?
Nd3BiSeN

Look up the uncorrected formation energy of the fifth one.
-1219 meV per atom